A geometry-optimized HfNb3Re4 structure. Source: Alexandria via LeMat-Bulk, functional PBE.

Cell: 3.219 4.561 9.113 Å, 90.00 90.00 90.00°
Fractional positions:
Hf (0.000, 0.000, 0.000)
Nb (0.000, 0.000, 0.500)
Nb (0.000, 0.500, 0.250)
Nb (0.000, 0.500, 0.750)
Re (0.500, 0.000, 0.256)
Re (0.500, 0.000, 0.744)
Re (0.500, 0.500, 0.000)
Re (0.500, 0.500, 0.500)

Space-group type: Pmmm (47)
VASP energy: -11.552 eV/atom
Mass density: 14.9 g cm⁻³
DFT formation energy: -0.308 eV per atom
DOS(E_F): 5.99 states/eV/f.u.